VASP calculation (meta-GGA SCAN) on a PBEsol-optimized structure of ScCu2Pb.

Its formation energy is -0.083 eV per atom. The total energy is -30.1873 eV per atom.

The space group is I-4m2 (No. 119) and the conventional cell measures 4.603, 4.603 and 6.426 Å, with angles of 90.00, 90.00 and 90.00 degrees. The inequivalent atoms are Sc at (0.000, 0.000, 0.000), Cu at (0.000, 0.000, 0.500), Cu at (0.000, 0.500, 0.750) and Pb at (0.000, 0.500, 0.250).